FeF: optimized geometry, PBE+U.

Unit cell a=8.8055 b=8.8055 c=2.8388 alpha=90.00 beta=90.00 gamma=120.00
Last column: nearest neighbours and their distance in Å.
Space group P6_3/m (No. 176)
Symmetry-distinct sites (fractional):
Fe1 0.2250 0.7593 0.2500 (multiplicity 6)  3 F 2.00-2.15
F1 0.0184 0.6994 0.7500 (multiplicity 6)  3 Fe 2.00-2.15

Total moment in μB per cell: 21.5
DOS(E_F) in states/eV/cell: 1.51
Excess energy over the best structure of this formula in the dataset in meV per atom: 46